No. 1
# CsCd2Ni

A relaxed CsCd2Ni crystal (PBE-GGA, Alexandria via LeMat-Bulk).

Values from the calculation:
Calculated total energy, eV/atom: -1.4779
Density of states at the Fermi level, states/eV per atom: 0.941
Total magnetization, μB/atom: 0.144
Energy above the lowest structure with this stoichiometry, meV per atom: 399
Energy of formation, eV per atom: 0.64

Cell and atoms, written as POSCAR:
```
CsCd2Ni
1.0
0.000 3.927 3.927
3.927 0.000 3.927
3.927 3.927 0.000
Cs Cd Ni
1 2 1
Cartesian
0.000 0.000 0.000
1.963 1.963 1.963
5.890 5.890 5.890
3.927 3.927 3.927
```

=====

No. 2
# ScCd3Ag2

A relaxed ScCd3Ag2 crystal (PBE-GGA, Alexandria via LeMat-Bulk).

Values from the calculation:
Calculated total energy, eV/atom: -2.5939
Density of states at the Fermi level, states/eV per atom: 0.565
Total magnetization, μB/atom: 0.068
Energy above the lowest structure with this stoichiometry, meV per atom: 0
Energy of formation, eV per atom: -0.13

Cell and atoms, written as POSCAR:
```
ScCd3Ag2
1.0
3.387 0.000 0.000
0.000 3.387 0.000
0.000 0.000 10.612
Sc Cd Ag
1 3 2
Cartesian
0.000 0.000 0.000
1.694 1.694 1.933
1.694 1.694 5.306
1.694 1.694 8.679
0.000 0.000 3.612
0.000 0.000 7.000
```

=====

- Which of these has the highest density of states at the Fermi level?
  CsCd2Ni

=====

What did the first record say?
# CsCd2Ni

A relaxed CsCd2Ni crystal (PBE-GGA, Alexandria via LeMat-Bulk).

Values from the calculation:
Calculated total energy, eV/atom: -1.4779
Density of states at the Fermi level, states/eV per atom: 0.941
Total magnetization, μB/atom: 0.144
Energy above the lowest structure with this stoichiometry, meV per atom: 399
Energy of formation, eV per atom: 0.64

Cell and atoms, written as POSCAR:
```
CsCd2Ni
1.0
0.000 3.927 3.927
3.927 0.000 3.927
3.927 3.927 0.000
Cs Cd Ni
1 2 1
Cartesian
0.000 0.000 0.000
1.963 1.963 1.963
5.890 5.890 5.890
3.927 3.927 3.927
```

=====

- What is the energy above the lowest structure with this stoichiometry in the first record?
  399 meV per atom